VASP calculation (PBE) on a geometry-optimized NdGeTe3 structure.

Summary:
- SG = Pnma
- mass density (g/cm³) = 6.47
- energy above the lowest structure with this stoichiometry (eV per atom) = 0.000
- density of states at the Fermi level (states/eV/cell) = 9.37
- formation energy (no corrections) (eV per formula unit) = -3.5

a = 4.2983 Å, b = 10.8173 Å, c = 13.2461 Å
α = 90.00°, β = 90.00°, γ = 90.00°
Atoms (fractional coordinates):
Te (0.2500, 0.2106, 0.2171)
Te (0.2500, 0.8592, 0.0343)
Te (0.7500, 0.7106, 0.2829)
Te (0.2500, 0.6408, 0.5343)
Te (0.2500, 0.2894, 0.7171)
Te (0.7500, 0.4754, 0.1267)
Te (0.2500, 0.9754, 0.3733)
Te (0.7500, 0.7894, 0.7829)
Te (0.2500, 0.5246, 0.8733)
Te (0.7500, 0.3592, 0.4657)
Te (0.7500, 0.0246, 0.6267)
Te (0.7500, 0.1408, 0.9657)
Ge (0.7500, 0.8148, 0.4801)
Ge (0.2500, 0.3148, 0.0199)
Ge (0.7500, 0.6852, 0.9801)
Ge (0.2500, 0.1852, 0.5199)
Nd (0.2500, 0.4942, 0.3118)
Nd (0.7500, 0.5058, 0.6882)
Nd (0.7500, 0.9942, 0.1882)
Nd (0.2500, 0.0058, 0.8118)


VASP calculation (PBE) on a geometry-optimized NdGeTe3 structure.

Summary:
- SG = Pnma
- mass density (g/cm³) = 5.22
- energy above the lowest structure with this stoichiometry (eV per atom) = 0.114
- density of states at the Fermi level (states/eV/cell) = 8.53
- formation energy (no corrections) (eV per formula unit) = -3.0

a = 6.6162 Å, b = 9.9283 Å, c = 11.6203 Å
α = 90.00°, β = 90.00°, γ = 90.00°
Atoms (fractional coordinates):
Te (0.2733, 0.9876, 0.7500)
Te (0.7384, 0.7479, 0.9186)
Te (0.2267, 0.4876, 0.7500)
Te (0.7733, 0.5124, 0.2500)
Te (0.7616, 0.2479, 0.5814)
Te (0.7267, 0.0124, 0.2500)
Te (0.2384, 0.7521, 0.0814)
Te (0.2384, 0.7521, 0.4186)
Te (0.7384, 0.7479, 0.5814)
Te (0.7616, 0.2479, 0.9186)
Te (0.2616, 0.2521, 0.4186)
Te (0.2616, 0.2521, 0.0814)
Ge (0.9591, 0.7696, 0.2500)
Ge (0.5409, 0.2696, 0.2500)
Ge (0.0409, 0.2304, 0.7500)
Ge (0.4591, 0.7304, 0.7500)
Nd (0.0000, 0.5000, 0.0000)
Nd (0.5000, 0.0000, 0.0000)
Nd (0.5000, 0.0000, 0.5000)
Nd (0.0000, 0.5000, 0.5000)


VASP calculation (PBE) on a geometry-optimized Nd2GeTe structure.

Summary:
- SG = R3m
- mass density (g/cm³) = 6.55
- energy above the lowest structure with this stoichiometry (eV per atom) = 0.067
- density of states at the Fermi level (states/eV/cell) = 1.09
- formation energy (no corrections) (eV per formula unit) = -4.6

a = 4.3515 Å, b = 4.3515 Å, c = 7.9575 Å
α = 74.13°, β = 74.13°, γ = 60.00°
Atoms (fractional coordinates):
Te (0.4988, 0.4988, 0.5035)
Nd (0.2606, 0.2606, 0.2183)
Nd (0.0729, 0.0729, 0.7813)
Ge (0.6677, 0.6677, 0.9970)


VASP calculation (PBE) on a geometry-optimized Nd2GeTe structure.

Summary:
- SG = R-3m
- mass density (g/cm³) = 6.65
- energy above the lowest structure with this stoichiometry (eV per atom) = 0.000
- density of states at the Fermi level (states/eV/cell) = 1.13
- formation energy (no corrections) (eV per formula unit) = -4.9

a = 4.3852 Å, b = 4.3852 Å, c = 7.7532 Å
α = 73.57°, β = 73.57°, γ = 60.00°
Atoms (fractional coordinates):
Nd (0.2584, 0.2584, 0.2248)
Nd (0.7416, 0.7416, 0.7752)
Ge (0.0000, 0.0000, 0.0000)
Te (0.5000, 0.5000, 0.5000)


VASP calculation (PBE) on a geometry-optimized NdGeTe structure.

Summary:
- SG = C2/m
- mass density (g/cm³) = 5.72
- density of states at the Fermi level (states/eV/cell) = 1.18
- formation energy (no corrections) (eV per formula unit) = -2.5

a = 4.3297 Å, b = 4.3287 Å, c = 12.5667 Å
α = 90.09°, β = 80.08°, γ = 59.99°
Atoms (fractional coordinates):
Ge (0.6379, 0.1812, 0.5431)
Ge (0.3621, 0.8188, 0.4569)
Te (0.7595, 0.6220, 0.8591)
Te (0.2405, 0.3780, 0.1409)
Nd (0.8130, 0.0926, 0.2814)
Nd (0.1870, 0.9074, 0.7186)


VASP calculation (PBE) on a geometry-optimized Nd3GeTe6 structure.

Summary:
- SG = Cmc2_1
- mass density (g/cm³) = 5.97
- density of states at the Fermi level (states/eV/cell) = 7.07
- formation energy (no corrections) (eV per formula unit) = -10.6

a = 7.4880 Å, b = 9.8268 Å, c = 9.8268 Å
α = 102.19°, β = 90.00°, γ = 90.00°
Atoms (fractional coordinates):
Te (0.2106, 0.4386, 0.9055)
Te (0.7106, 0.9055, 0.4386)
Te (0.1789, 0.0344, 0.9656)
Te (0.1523, 0.7775, 0.2225)
Te (0.6793, 0.2994, 0.3750)
Te (0.6789, 0.9656, 0.0344)
Te (0.6793, 0.6250, 0.7006)
Te (0.7106, 0.5614, 0.0945)
Te (0.6523, 0.2225, 0.7775)
Te (0.2106, 0.0945, 0.5614)
Te (0.1793, 0.3750, 0.2994)
Te (0.1793, 0.7006, 0.6250)
Ge (0.5254, 0.7992, 0.2008)
Ge (0.0254, 0.2008, 0.7992)
Nd (0.9870, 0.0852, 0.2781)
Nd (0.8750, 0.5948, 0.4052)
Nd (0.9870, 0.7219, 0.9148)
Nd (0.4870, 0.9148, 0.7219)
Nd (0.3750, 0.4052, 0.5948)
Nd (0.4870, 0.2781, 0.0852)


VASP calculation (PBE) on a geometry-optimized Nd6GeTe5 structure.

Summary:
- SG = C2/m
- mass density (g/cm³) = 6.86
- density of states at the Fermi level (states/eV/cell) = 6.27
- formation energy (no corrections) (eV per formula unit) = -16.8

a = 7.7742 Å, b = 7.7579 Å, c = 7.7440 Å
α = 59.94°, β = 80.45°, γ = 70.66°
Atoms (fractional coordinates):
Te (0.5000, 0.8268, 0.3465)
Te (0.0000, 0.6652, 0.6696)
Te (0.5000, 0.5000, 0.0000)
Te (0.0000, 0.3348, 0.3304)
Te (0.5000, 0.1732, 0.6535)
Nd (0.2379, 0.2301, 0.0000)
Nd (0.7661, 0.0771, 0.3114)
Nd (0.2339, 0.9229, 0.6886)
Nd (0.7621, 0.7699, 0.0000)
Nd (0.2339, 0.6114, 0.3114)
Nd (0.7661, 0.3886, 0.6886)
Ge (0.0000, 0.0000, 0.0000)


VASP calculation (PBE) on a geometry-optimized NdGe2Te4 structure.

Summary:
- SG = I4/m
- mass density (g/cm³) = 5.46
- density of states at the Fermi level (states/eV/cell) = 2.74
- formation energy (no corrections) (eV per formula unit) = -2.2

a = 6.8452 Å, b = 6.8452 Å, c = 6.8452 Å
α = 105.57°, β = 105.57°, γ = 117.60°
Atoms (fractional coordinates):
Ge (0.2500, 0.7500, 0.5000)
Ge (0.7500, 0.2500, 0.5000)
Te (0.8259, 0.3009, 0.1268)
Te (0.3009, 0.1741, 0.4750)
Te (0.1741, 0.6991, 0.8732)
Te (0.6991, 0.8259, 0.5250)
Nd (0.5000, 0.5000, 0.0000)


VASP calculation (PBE) on a geometry-optimized Nd5Ge2Te2 structure.

Summary:
- SG = Cmce
- mass density (g/cm³) = 7.12
- density of states at the Fermi level (states/eV/cell) = 16.20
- formation energy (no corrections) (eV per formula unit) = -9.8

a = 8.1744 Å, b = 8.1270 Å, c = 8.8657 Å
α = 117.28°, β = 90.00°, γ = 90.00°
Atoms (fractional coordinates):
Nd (0.5000, 0.5000, 0.0000)
Nd (0.6650, 0.2927, 0.2541)
Nd (0.3350, 0.9615, 0.2541)
Nd (0.1650, 0.2073, 0.7459)
Nd (0.8350, 0.7927, 0.2541)
Nd (0.8350, 0.5385, 0.7459)
Nd (0.6650, 0.0385, 0.7459)
Nd (0.1650, 0.4615, 0.2541)
Nd (0.0000, 0.0000, 0.0000)
Nd (0.3350, 0.7073, 0.7459)
Ge (0.3658, 0.1359, 0.0000)
Ge (0.6342, 0.8641, 0.0000)
Ge (0.1342, 0.6359, 0.0000)
Ge (0.8658, 0.3641, 0.0000)
Te (0.0000, 0.7962, 0.5924)
Te (0.5000, 0.7038, 0.4076)
Te (0.5000, 0.2962, 0.5924)
Te (0.0000, 0.2038, 0.4076)


VASP calculation (PBE) on a geometry-optimized Nd4TlGeTe2 structure.

Summary:
- SG = I-4m2
- mass density (g/cm³) = 7.31
- density of states at the Fermi level (states/eV/cell) = 4.41
- formation energy (no corrections) (eV per formula unit) = -8.1

a = 6.3032 Å, b = 6.3032 Å, c = 7.7503 Å
α = 114.00°, β = 114.00°, γ = 90.00°
Atoms (fractional coordinates):
Tl (0.5000, 0.5000, 0.0000)
Nd (0.2484, 0.2484, 0.4968)
Nd (0.5100, 0.0100, 0.0200)
Nd (0.7516, 0.7516, 0.5032)
Nd (0.9900, 0.4900, 0.9800)
Te (0.0000, 0.0000, 0.0000)
Te (0.2500, 0.7500, 0.5000)
Ge (0.7500, 0.2500, 0.5000)


VASP calculation (PBE) on a geometry-optimized Nd8TlGe3Te4 structure.

Summary:
- SG = R-3m
- mass density (g/cm³) = 6.98
- density of states at the Fermi level (states/eV/cell) = 7.74
- formation energy (no corrections) (eV per formula unit) = -17.8

a = 8.8084 Å, b = 8.9678 Å, c = 8.8090 Å
α = 119.42°, β = 120.00°, γ = 90.00°
Atoms (fractional coordinates):
Nd (0.2500, 0.7341, 0.5000)
Nd (0.7500, 0.2658, 0.0158)
Nd (0.7406, 0.7217, 0.4811)
Nd (0.2500, 0.7342, 0.9842)
Nd (0.7342, 0.7342, 0.9842)
Nd (0.2658, 0.2658, 0.0158)
Nd (0.2594, 0.2783, 0.5189)
Nd (0.7500, 0.2659, 0.5000)
Te (0.0000, 0.0000, 0.0000)
Te (0.0000, 0.0000, 0.5000)
Te (0.5000, 0.0000, 0.5000)
Te (0.5000, 0.0000, 0.0000)
Ge (0.5000, 0.5000, 0.5000)
Ge (0.0000, 0.5000, 0.5000)
Ge (0.5000, 0.5000, 0.0000)
Tl (0.0000, 0.5000, 0.0000)


VASP calculation (PBE) on a geometry-optimized Nd2Tl3GeTe6 structure.

Summary:
- SG = C2/m
- mass density (g/cm³) = 6.87
- density of states at the Fermi level (states/eV/cell) = 7.53
- formation energy (no corrections) (eV per formula unit) = -8.8

a = 4.4983 Å, b = 9.4669 Å, c = 10.5506 Å
α = 106.34°, β = 102.31°, γ = 90.00°
Atoms (fractional coordinates):
Tl (0.5000, 0.5000, 0.0000)
Tl (0.1690, 0.8426, 0.3380)
Tl (0.8310, 0.1574, 0.6620)
Te (0.0039, 0.2227, 0.0078)
Te (0.3266, 0.4250, 0.6532)
Te (0.6542, 0.0958, 0.3084)
Te (0.3458, 0.9042, 0.6916)
Te (0.9961, 0.7773, 0.9922)
Te (0.6734, 0.5750, 0.3468)
Ge (0.5000, 0.0000, 0.0000)
Nd (0.1643, 0.3340, 0.3287)
Nd (0.8357, 0.6660, 0.6713)


VASP calculation (PBE) on a geometry-optimized NdTh5Ge6 structure.

Summary:
- SG = C2/m
- calculated formation energy (eV/atom) = -0.762
- mass density (g/cm³) = 8.57
- density of states at the Fermi level (states/eV/cell) = 6.37

a = 7.4463 Å, b = 7.4524 Å, c = 7.4465 Å
α = 59.97°, β = 80.41°, γ = 70.54°
Atoms (fractional coordinates):
Th (0.5000, 0.1664, 0.6672)
Th (0.5000, 0.8336, 0.3328)
Th (0.0000, 0.3332, 0.3336)
Th (0.0000, 0.6668, 0.6664)
Th (0.5000, 0.5000, 0.0000)
Ge (0.2507, 0.2512, 0.0000)
Ge (0.7494, 0.0835, 0.3346)
Ge (0.7493, 0.7488, 0.0000)
Ge (0.2506, 0.9165, 0.6654)
Ge (0.2506, 0.5819, 0.3346)
Ge (0.7494, 0.4181, 0.6654)
Nd (0.0000, 0.0000, 0.0000)


VASP calculation (PBE) on a geometry-optimized NdTh2Ge2 structure.

Summary:
- SG = P4/mbm
- calculated formation energy (eV/atom) = -0.697
- mass density (g/cm³) = 9.35
- density of states at the Fermi level (states/eV/cell) = 8.25

a = 4.2254 Å, b = 7.9599 Å, c = 7.9599 Å
α = 90.00°, β = 90.00°, γ = 90.00°
Atoms (fractional coordinates):
Ge (0.0000, 0.3782, 0.8782)
Ge (0.0000, 0.1218, 0.3782)
Ge (0.0000, 0.8782, 0.6218)
Ge (0.0000, 0.6218, 0.1218)
Nd (0.0000, 0.0000, 0.0000)
Nd (0.0000, 0.5000, 0.5000)
Th (0.5000, 0.1765, 0.6765)
Th (0.5000, 0.8235, 0.3235)
Th (0.5000, 0.6765, 0.8235)
Th (0.5000, 0.3235, 0.1765)


VASP calculation (PBE) on a geometry-optimized NdThGe2 structure.

Summary:
- SG = R-3m
- calculated formation energy (eV/atom) = -0.725
- mass density (g/cm³) = 7.71
- density of states at the Fermi level (states/eV/cell) = 2.51

a = 4.2935 Å, b = 4.2935 Å, c = 7.4615 Å
α = 73.28°, β = 73.28°, γ = 60.00°
Atoms (fractional coordinates):
Ge (0.7493, 0.7493, 0.7521)
Ge (0.2507, 0.2507, 0.2479)
Nd (0.5000, 0.5000, 0.5000)
Th (0.0000, 0.0000, 0.0000)


VASP calculation (PBE) on a geometry-optimized NdThGe2 structure.

Summary:
- SG = Pmc2_1
- calculated formation energy (eV/atom) = -0.777
- mass density (g/cm³) = 8.48
- density of states at the Fermi level (states/eV/cell) = 4.56

a = 4.1762 Å, b = 5.9955 Å, c = 8.1534 Å
α = 90.00°, β = 90.00°, γ = 90.00°
Atoms (fractional coordinates):
Ge (0.5000, 0.8956, 0.4589)
Ge (0.0000, 0.6090, 0.5408)
Ge (0.0000, 0.3910, 0.0408)
Ge (0.5000, 0.1044, 0.9589)
Nd (0.5000, 0.3752, 0.3183)
Nd (0.5000, 0.6248, 0.8183)
Th (0.0000, 0.1257, 0.6820)
Th (0.0000, 0.8743, 0.1820)


VASP calculation (PBE) on a geometry-optimized NdTh4Ge5 structure.

Summary:
- SG = Immm
- calculated formation energy (eV/atom) = -0.760
- mass density (g/cm³) = 8.48
- density of states at the Fermi level (states/eV/cell) = 4.11

a = 4.2900 Å, b = 6.0837 Å, c = 11.3935 Å
α = 105.48°, β = 100.85°, γ = 90.00°
Atoms (fractional coordinates):
Th (0.8002, 0.8002, 0.6004)
Th (0.5994, 0.5994, 0.1988)
Th (0.1998, 0.1998, 0.3996)
Th (0.4006, 0.4006, 0.8012)
Ge (0.6006, 0.1006, 0.2013)
Ge (0.3994, 0.8994, 0.7987)
Ge (0.8002, 0.3002, 0.6003)
Ge (0.1998, 0.6998, 0.3997)
Ge (0.0000, 0.5000, 0.0000)
Nd (0.0000, 0.0000, 0.0000)


VASP calculation (PBE) on a geometry-optimized NdThGe2 structure.

Summary:
- SG = R3m
- calculated formation energy (eV/atom) = -0.567
- mass density (g/cm³) = 7.52
- density of states at the Fermi level (states/eV/cell) = 5.36

a = 4.2543 Å, b = 4.2543 Å, c = 7.7480 Å
α = 74.07°, β = 74.07°, γ = 60.00°
Atoms (fractional coordinates):
Nd (0.4965, 0.4965, 0.5105)
Th (0.6702, 0.6702, 0.9894)
Ge (0.0814, 0.0814, 0.7559)
Ge (0.2519, 0.2519, 0.2442)


VASP calculation (PBE) on a geometry-optimized NdThGe2 structure.

Summary:
- SG = Amm2
- calculated formation energy (eV/atom) = -0.775
- mass density (g/cm³) = 8.45
- density of states at the Fermi level (states/eV/cell) = 2.70

a = 4.3758 Å, b = 4.2083 Å, c = 5.9798 Å
α = 90.00°, β = 111.51°, γ = 90.00°
Atoms (fractional coordinates):
Th (0.7199, 0.0000, 0.9782)
Nd (0.4446, 0.5000, 0.4288)
Ge (0.9965, 0.0000, 0.5332)
Ge (0.1700, 0.5000, 0.8779)


VASP calculation (PBE) on a geometry-optimized NdThGe2 structure.

Summary:
- SG = P4/mmm
- calculated formation energy (eV/atom) = -0.620
- mass density (g/cm³) = 8.74
- density of states at the Fermi level (states/eV/cell) = 1.70

a = 3.2363 Å, b = 5.5349 Å, c = 5.5349 Å
α = 90.00°, β = 90.00°, γ = 90.00°
Atoms (fractional coordinates):
Ge (0.0000, 0.0000, 0.5000)
Ge (0.0000, 0.5000, 0.0000)
Th (0.5000, 0.0000, 0.0000)
Nd (0.5000, 0.5000, 0.5000)


VASP calculation (PBE) on a geometry-optimized Nd5TiGe4 structure.

Summary:
- SG = C2/m
- calculated formation energy (eV/atom) = -0.458
- mass density (g/cm³) = 6.20
- density of states at the Fermi level (states/eV/cell) = 10.12

a = 4.1234 Å, b = 7.9073 Å, c = 9.2736 Å
α = 105.28°, β = 102.85°, γ = 90.00°
Atoms (fractional coordinates):
Ge (0.0020, 0.7814, 0.0041)
Ge (0.3431, 0.9111, 0.6862)
Ge (0.9980, 0.2186, 0.9959)
Ge (0.6569, 0.0889, 0.3138)
Nd (0.8348, 0.6462, 0.6697)
Nd (0.8289, 0.1678, 0.6579)
Nd (0.1652, 0.3538, 0.3303)
Nd (0.1711, 0.8322, 0.3422)
Nd (0.5000, 0.5000, 0.0000)
Ti (0.5000, 0.0000, 0.0000)


VASP calculation (PBE) on a geometry-optimized Nd2Ti3Ge4 structure.

Summary:
- SG = P2_1/c
- calculated formation energy (eV/atom) = -0.746
- mass density (g/cm³) = 6.73
- density of states at the Fermi level (states/eV/cell) = 17.66

a = 7.1381 Å, b = 7.2875 Å, c = 7.2718 Å
α = 90.00°, β = 90.00°, γ = 109.48°
Atoms (fractional coordinates):
Ti (0.5000, 0.5000, 0.0000)
Ti (0.2499, 0.7410, 0.1672)
Ti (0.0000, 0.5000, 0.5000)
Ti (0.7499, 0.7410, 0.3328)
Ti (0.7501, 0.2590, 0.8328)
Ti (0.2501, 0.2590, 0.6672)
Nd (0.0616, 0.1866, 0.1683)
Nd (0.4384, 0.8134, 0.6683)
Nd (0.5616, 0.1866, 0.3317)
Nd (0.9384, 0.8134, 0.8317)
Ge (0.8680, 0.0940, 0.5478)
Ge (0.1378, 0.5010, 0.8657)
Ge (0.8622, 0.4990, 0.1343)
Ge (0.3680, 0.0940, 0.9522)
Ge (0.3622, 0.4990, 0.3657)
Ge (0.6320, 0.9060, 0.0478)
Ge (0.6378, 0.5010, 0.6343)
Ge (0.1320, 0.9060, 0.4522)